Density functional theory data (PBE-GGA) for La3Tb2Pm3 after structural relaxation.

As for the density of states at the Fermi level: 1.7593 states/eV/atom. The value obtained for the total magnetization is 0.0 μB per cell. The density is 7.0 Mg/m³. The total energy is -4.77 eV per atom.

The structure belongs to space group P-1 (No. 2); the cell edges are 6.335, 6.357 and 8.191 Å and the angles 105.00°, 104.88° and 109.33°. The asymmetric unit holds La at (0.000, 0.000, 0.000), La at (0.126, 0.626, 0.252), Tb at (0.251, 0.250, 0.501), Pm at (0.374, 0.873, 0.747) and Pm at (0.500, 0.500, 0.000).